VASP calculation (PBE) on crystalline Pm12Sc3Pd5 at its relaxed geometry.

Calculated values
- ΔE_f (eV per atom) = 0.15
- crystal system = cubic

abc: 15.316 15.316 15.316
angles: 109.47 109.47 109.47
Positions (direct):
Pd 0.375 0.125 0.750
Pd 0.500 0.500 0.000
Pd 0.875 0.625 0.750
Pd 0.000 0.000 0.500
Pd 0.250 0.375 0.625
Pd 0.750 0.625 0.375
Pd 0.500 0.500 0.500
Pd 0.500 0.000 0.000
Pd 0.875 0.250 0.625
Pd 0.125 0.375 0.250
Pd 0.750 0.125 0.875
Pd 0.000 0.000 0.000
Pd 0.500 0.000 0.500
Pd 0.250 0.875 0.125
Pd 0.125 0.750 0.375
Pd 0.000 0.500 0.500
Pd 0.000 0.500 0.000
Pd 0.625 0.875 0.250
Pd 0.625 0.750 0.875
Pd 0.375 0.250 0.125
Pm 0.465 0.789 0.885
Pm 0.403 0.115 0.579
Pm 0.903 0.079 0.615
Pm 0.289 0.403 0.824
Pm 0.115 0.403 0.079
Pm 0.115 0.711 0.535
Pm 0.097 0.921 0.385
Pm 0.176 0.097 0.711
Pm 0.079 0.903 0.115
Pm 0.711 0.115 0.035
Pm 0.421 0.035 0.324
Pm 0.824 0.903 0.289
Pm 0.535 0.211 0.115
Pm 0.579 0.965 0.676
Pm 0.535 0.324 0.921
Pm 0.615 0.035 0.211
Pm 0.676 0.465 0.579
Pm 0.921 0.097 0.885
Pm 0.711 0.597 0.176
Pm 0.324 0.789 0.403
Pm 0.403 0.289 0.324
Pm 0.789 0.465 0.385
Pm 0.211 0.535 0.615
Pm 0.965 0.385 0.289
Pm 0.885 0.289 0.465
Pm 0.597 0.885 0.421
Pm 0.789 0.324 0.903
Pm 0.421 0.385 0.597
Pm 0.035 0.421 0.824
Pm 0.211 0.676 0.097
Pm 0.824 0.921 0.035
Pm 0.324 0.535 0.421
Pm 0.176 0.079 0.965
Pm 0.079 0.176 0.465
Pm 0.385 0.421 0.097
Pm 0.579 0.615 0.403
Pm 0.965 0.579 0.176
Pm 0.615 0.579 0.903
Pm 0.676 0.211 0.597
Pm 0.903 0.824 0.789
Pm 0.885 0.597 0.921
Pm 0.289 0.885 0.965
Pm 0.385 0.965 0.789
Pm 0.465 0.676 0.079
Pm 0.035 0.615 0.711
Pm 0.597 0.711 0.676
Pm 0.921 0.824 0.535
Pm 0.097 0.176 0.211
Sc 0.625 0.250 0.375
Sc 0.250 0.625 0.875
Sc 0.125 0.250 0.875
Sc 0.125 0.875 0.750
Sc 0.250 0.125 0.375
Sc 0.875 0.750 0.125
Sc 0.375 0.750 0.625
Sc 0.875 0.125 0.250
Sc 0.750 0.875 0.625
Sc 0.625 0.375 0.750
Sc 0.750 0.375 0.125
Sc 0.375 0.625 0.250

***

VASP calculation (PBE) on crystalline Rb2CuSnI at its relaxed geometry.

Calculated values
- uncorrected formation energy (eV/atom) = 0.285
- crystal system = tetragonal

abc: 7.151 5.984 7.151
angles: 90.00 90.00 90.00
Positions (direct):
Sn 0.000 0.000 0.000
Cu 0.500 0.500 0.500
I 0.000 0.500 0.000
Rb 0.000 0.000 0.500
Rb 0.500 0.000 0.000

***

VASP calculation (PBE) on crystalline Ac4Bi2IrO2 at its relaxed geometry.

Calculated values
- uncorrected formation energy (eV/atom) = -1.706
- crystal system = monoclinic

abc: 4.278 8.112 8.456
angles: 109.41 104.65 90.00
Positions (direct):
Bi 0.134 0.535 0.268
Bi 0.866 0.465 0.732
Ac 0.206 0.156 0.411
Ac 0.794 0.844 0.589
Ac 0.470 0.229 0.939
Ac 0.530 0.771 0.061
O 0.680 0.987 0.361
O 0.320 0.013 0.639
Ir 0.000 0.000 0.000

***

VASP calculation (PBE) on crystalline TaMn2V2 at its relaxed geometry.

Calculated values
- ΔE_f (eV per atom) = 0.12
- crystal system = orthorhombic

abc: 2.940 2.993 7.961
angles: 79.17 90.00 90.00
Positions (direct):
Ta 0.000 0.000 0.000
Mn 0.500 0.601 0.797
Mn 0.500 0.399 0.203
V 0.000 0.813 0.374
V 0.000 0.187 0.626

***

| no. | E (eV/f.u.) | spin magnetization (μB/f.u.) |
| --- | --- | --- |
| 1 | -98.93 | 2.43 |
| 2 | -10.16 | 1.33 |
| 3 | -58.33 | 0.00 |
| 4 | -47.83 | 0.00 |